An optimized crystal structure of Li2ZrMoO6. Source: Alexandria, functional PBE+U.

a = 5.6528 Å, b = 5.6528 Å, c = 4.2049 Å
α = 90.00°, β = 90.00°, γ = 90.00°
Positions (direct):
1 Li 0.0000 0.5000 0.0000
2 Li 0.5000 0.0000 0.0000
3 Zr 0.0000 0.0000 0.7501
4 Mo 0.5000 0.5000 0.7338
5 O 0.0000 0.0000 0.2889
6 O 0.2642 0.2642 0.8258
7 O 0.2642 0.7358 0.8258
8 O 0.5000 0.5000 0.3185
9 O 0.7358 0.2642 0.8258
10 O 0.7358 0.7358 0.8258

Values from the calculation:
The calculation puts the density at 3.67 g/cm3. The total DFT energy (no corrections) comes out at -7.118 eV per atom. As for the magnetic moment: 0.00 Bohr magnetons per cell.